(1)
Below is PaTi7Bi2H2 after structural relaxation, with properties calculated at the PBE level.

Properties
energy = -6.737 eV per atom

CIF file:
```
data_PaTi7Bi2H2
_cell_length_a 4.126
_cell_length_b 4.126
_cell_length_c 12.154
_cell_angle_alpha 80.23
_cell_angle_beta 80.23
_cell_angle_gamma 89.99
_space_group_name_H-M_alt 'P 1'
_space_group_IT_number 1
loop_
_space_group_symop_operation_xyz
'x,y,z'
loop_
_atom_site_label
_atom_site_type_symbol
_atom_site_fract_x
_atom_site_fract_y
_atom_site_fract_z
_atom_site_occupancy
Pa1 Pa 0.000 0.000 0.000 1
Ti1 Ti 0.500 0.500 0.000 1
Ti2 Ti 0.314 0.314 0.370 1
Ti3 Ti 0.686 0.686 0.630 1
Ti4 Ti 0.902 0.402 0.193 1
Ti5 Ti 0.402 0.902 0.193 1
Ti6 Ti 0.598 0.098 0.807 1
Ti7 Ti 0.098 0.598 0.807 1
Bi1 Bi 0.809 0.809 0.380 1
Bi2 Bi 0.191 0.191 0.620 1
H1 H 0.603 0.603 0.795 1
H2 H 0.397 0.397 0.205 1
```

---

(2)
Below is Zr7PaBi2H2 after structural relaxation, with properties calculated at the PBE level.

Properties
energy = -7.195 eV per atom

CIF file:
```
data_Zr7PaBi2H2
_cell_length_a 4.306
_cell_length_b 4.306
_cell_length_c 13.369
_cell_angle_alpha 82.66
_cell_angle_beta 82.66
_cell_angle_gamma 89.71
_space_group_name_H-M_alt 'P 1'
_space_group_IT_number 1
loop_
_space_group_symop_operation_xyz
'x,y,z'
loop_
_atom_site_label
_atom_site_type_symbol
_atom_site_fract_x
_atom_site_fract_y
_atom_site_fract_z
_atom_site_occupancy
Zr1 Zr 0.500 0.500 0.000 1
Zr2 Zr 0.343 0.343 0.406 1
Zr3 Zr 0.657 0.657 0.594 1
Zr4 Zr 0.919 0.420 0.197 1
Zr5 Zr 0.420 0.919 0.197 1
Zr6 Zr 0.580 0.081 0.803 1
Zr7 Zr 0.081 0.580 0.803 1
Pa1 Pa 0.000 0.000 0.000 1
Bi1 Bi 0.851 0.851 0.371 1
Bi2 Bi 0.149 0.149 0.629 1
H1 H 0.596 0.596 0.760 1
H2 H 0.404 0.404 0.240 1
```

---

(3)
Below is BiHPb2 after structural relaxation, with properties calculated at the PBE level.

Properties
energy = -3.267 eV per atom

CIF file:
```
data_BiHPb2
_cell_length_a 5.338
_cell_length_b 5.338
_cell_length_c 5.338
_cell_angle_alpha 60.00
_cell_angle_beta 60.00
_cell_angle_gamma 60.00
_space_group_name_H-M_alt 'P 1'
_space_group_IT_number 1
loop_
_space_group_symop_operation_xyz
'x,y,z'
loop_
_atom_site_label
_atom_site_type_symbol
_atom_site_fract_x
_atom_site_fract_y
_atom_site_fract_z
_atom_site_occupancy
Pb1 Pb 0.250 0.250 0.250 1
Pb2 Pb 0.750 0.750 0.750 1
H1 H 0.000 0.000 0.000 1
Bi1 Bi 0.500 0.500 0.500 1
```

---

(4)
Below is BiH2Pb after structural relaxation, with properties calculated at the PBE level.

Properties
energy = -3.241 eV per atom

CIF file:
```
data_BiH2Pb
_cell_length_a 8.278
_cell_length_b 3.298
_cell_length_c 11.262
_cell_angle_alpha 39.53
_cell_angle_beta 122.98
_cell_angle_gamma 121.10
_space_group_name_H-M_alt 'P 1'
_space_group_IT_number 1
loop_
_space_group_symop_operation_xyz
'x,y,z'
loop_
_atom_site_label
_atom_site_type_symbol
_atom_site_fract_x
_atom_site_fract_y
_atom_site_fract_z
_atom_site_occupancy
Bi1 Bi 0.175 0.216 0.326 1
Bi2 Bi 0.825 0.784 0.674 1
H1 H 0.548 0.412 0.657 1
H2 H 0.159 0.861 0.052 1
H3 H 0.452 0.588 0.343 1
H4 H 0.841 0.139 0.948 1
Pb1 Pb 0.677 0.462 0.174 1
Pb2 Pb 0.323 0.538 0.826 1
```